The following is a PBE calculation of crystalline TbPr2In3Pt2Au at its relaxed geometry, from the Open Quantum Materials Database.

## Properties
Raw total energy = -5.077 eV per atom

a = 4.0113 Å, b = 7.8080 Å, c = 7.8080 Å
α = 119.82°, β = 90.00°, γ = 90.00°
Fractional coordinates of all 9 atoms:
Au1 0.0000 0.0029 0.0029
In1 0.5000 0.2624 0.0031
In2 0.5000 0.0031 0.2624
In3 0.5000 0.7364 0.7364
Pr1 0.0000 0.9994 0.5888
Pr2 0.0000 0.5888 0.9994
Pt1 0.5000 0.6599 0.3356
Pt2 0.5000 0.3356 0.6599
Tb1 0.0000 0.4115 0.4115

The following is a PBE calculation of crystalline Pr2TmIn3PtAu2 at its relaxed geometry, from the Open Quantum Materials Database.

## Properties
Raw total energy = -4.673 eV per atom

a = 4.0305 Å, b = 7.8018 Å, c = 7.8018 Å
α = 119.87°, β = 90.00°, γ = 90.00°
Fractional coordinates of all 9 atoms:
Au1 0.5000 0.6624 0.3444
Au2 0.5000 0.3444 0.6624
In1 0.5000 0.2512 0.2512
In2 0.5000 0.9978 0.7467
In3 0.5000 0.7467 0.9978
Pr1 0.0000 0.4054 0.0006
Pr2 0.0000 0.0006 0.4054
Pt1 0.0000 0.9910 0.9910
Tm1 0.0000 0.6005 0.6005

The following is a PBE calculation of crystalline PrY2In3PtAu2 at its relaxed geometry, from the Open Quantum Materials Database.

## Properties
Raw total energy = -5.105 eV per atom

a = 4.0036 Å, b = 7.7872 Å, c = 7.7872 Å
α = 120.26°, β = 90.00°, γ = 90.00°
Fractional coordinates of all 9 atoms:
Au1 0.5000 0.6715 0.3315
Au2 0.5000 0.3315 0.6715
In1 0.5000 0.9966 0.2539
In2 0.5000 0.7475 0.7475
In3 0.5000 0.2539 0.9966
Pr1 0.0000 0.4028 0.4028
Pt1 0.0000 0.9959 0.9959
Y1 0.0000 0.6000 0.0005
Y2 0.0000 0.0005 0.6000

The following is a PBE calculation of crystalline Pr2YIn3PtAu2 at its relaxed geometry, from the Open Quantum Materials Database.

## Properties
Raw total energy = -4.902 eV per atom

a = 4.0367 Å, b = 7.8210 Å, c = 7.8210 Å
α = 120.10°, β = 90.00°, γ = 90.00°
Fractional coordinates of all 9 atoms:
Au1 0.5000 0.6640 0.3400
Au2 0.5000 0.3400 0.6640
In1 0.5000 0.2523 0.2523
In2 0.5000 0.9968 0.7471
In3 0.5000 0.7471 0.9968
Pr1 0.0000 0.4049 0.0005
Pr2 0.0000 0.0005 0.4049
Pt1 0.0000 0.9950 0.9950
Y1 0.0000 0.5994 0.5994

The following is a PBE calculation of crystalline Pr3ZnIn2Pt2Au at its relaxed geometry, from the Open Quantum Materials Database.

## Properties
Raw total energy = -4.887 eV per atom

a = 4.0660 Å, b = 7.7646 Å, c = 7.7646 Å
α = 120.29°, β = 90.00°, γ = 90.00°
Fractional coordinates of all 9 atoms:
Au1 0.5000 0.0188 0.0188
In1 0.0000 0.9947 0.7442
In2 0.0000 0.7442 0.9947
Pr1 0.5000 0.4115 0.0037
Pr2 0.5000 0.0037 0.4115
Pr3 0.5000 0.5754 0.5754
Pt1 0.0000 0.6615 0.3300
Pt2 0.0000 0.3300 0.6615
Zn1 0.0000 0.2603 0.2603

The following is a PBE calculation of crystalline Pr3Zn2InPt2Au at its relaxed geometry, from the Open Quantum Materials Database.

## Properties
Raw total energy = -4.698 eV per atom

a = 4.0398 Å, b = 7.6160 Å, c = 7.6160 Å
α = 119.23°, β = 90.00°, γ = 90.00°
Fractional coordinates of all 9 atoms:
Au1 0.0000 0.0114 0.0114
In1 0.5000 0.7491 0.7491
Pr1 0.0000 0.5850 0.0040
Pr2 0.0000 0.4051 0.4051
Pr3 0.0000 0.0040 0.5850
Pt1 0.5000 0.6655 0.3298
Pt2 0.5000 0.3298 0.6655
Zn1 0.5000 0.9961 0.2539
Zn2 0.5000 0.2539 0.9961